Here is a relaxed YTaAu4 crystal from Alexandria. Energies are from PBE.

a b c (Å): 5.5463 5.5463 5.5463
angles (deg): 60.00 60.00 60.00
Last column: nearest neighbours and their distance in Å.
Positions (direct):
Au (0.3752, 0.3752, 0.8744)  6 Au 2.77-2.78
Au (0.3752, 0.3752, 0.3752)  6 Au 2.77-2.78
Au (0.8744, 0.3752, 0.3752)  6 Au 2.77-2.78
Au (0.3752, 0.8744, 0.3752)  6 Au 2.77-2.78
Ta (0.7500, 0.7500, 0.7500)  12 Au 3.25, 4 Y 3.40
Y (0.0000, 0.0000, 0.0000)  12 Au 3.25, 4 Ta 3.40

calculated formation energy	23	meV/atom
VASP energy	-0.3833	Ry per atom
magnetization	2.679	μB per cell